1.
Compound: Ce2YPu
Source: Alexandria
Functional: GGA-PBE
Structure: optimized geometry Values from VASP.

Cell and atoms, written as Quantum ESPRESSO input:
```
&SYSTEM
  ibrav = 0, nat = 4, ntyp = 3
/
ATOMIC_SPECIES
Y 88.91 Y.upf
Ce 140.12 Ce.upf
Pu 244.00 Pu.upf
ATOMIC_POSITIONS crystal
Y 0.500 0.500 0.500
Ce 0.000 0.000 0.773
Ce 0.000 0.000 0.227
Pu 0.500 0.500 0.000
CELL_PARAMETERS angstrom
3.395 0.000 0.000
0.000 3.395 0.000
0.000 0.000 9.710
```

Output
excess energy over the best structure of this formula in the dataset = 0.000 eV/f.u.
energy = -32.2 eV for the cell shown
space group = No. 123
calculated volume = 27.98 Å³/atom
ΔH_f (0 K) = 0.116 eV per atom

2.
Compound: TbYPu2N4
Source: Alexandria
Functional: GGA-PBE
Structure: optimized geometry Values from VASP.

Cell and atoms, written as Quantum ESPRESSO input:
```
&SYSTEM
  ibrav = 0, nat = 8, ntyp = 4
/
ATOMIC_SPECIES
Tb 158.93 Tb.upf
Y 88.91 Y.upf
Pu 244.00 Pu.upf
N 14.01 N.upf
ATOMIC_POSITIONS crystal
Tb 0.000 0.000 0.000
Y 0.500 0.500 0.000
Pu 0.500 0.000 0.500
Pu 0.000 0.500 0.500
N 0.500 0.258 0.259
N 0.500 0.742 0.741
N 0.000 0.243 0.741
N 0.000 0.757 0.259
CELL_PARAMETERS angstrom
3.483 0.000 0.000
0.000 6.023 0.074
0.000 -2.133 5.643
```

Output
energy = -84.4 eV for the cell shown
space group = No. 10
calculated volume = 14.86 Å³/atom

3.
Compound: Zn3Ni8B2
Source: Alexandria
Functional: GGA-PBE
Structure: optimized geometry Values from VASP.

Cell and atoms, written as Quantum ESPRESSO input:
```
&SYSTEM
  ibrav = 0, nat = 13, ntyp = 3
/
ATOMIC_SPECIES
Zn 65.41 Zn.upf
Ni 58.69 Ni.upf
B 10.81 B.upf
ATOMIC_POSITIONS crystal
Zn 0.500 0.000 0.000
Zn 0.000 0.304 0.000
Zn 0.000 0.696 0.000
Ni 0.000 0.675 0.350
Ni 0.000 0.325 0.650
Ni 0.000 0.134 0.269
Ni 0.000 0.866 0.731
Ni 0.500 0.589 0.699
Ni 0.500 0.109 0.699
Ni 0.500 0.891 0.301
Ni 0.500 0.411 0.301
B 0.500 0.239 0.477
B 0.500 0.761 0.523
CELL_PARAMETERS angstrom
-0.899 2.605 -2.334
-6.371 -1.480 0.801
2.830 4.784 4.251
```

Output
energy = -65.0 eV for the cell shown
space group = No. 65
calculated volume = 11.30 Å³/atom
ΔH_f (0 K) = -0.118 eV per atom

4.
Compound: CoRu2Au
Source: Alexandria
Functional: GGA-PBE
Structure: optimized geometry Values from VASP.

Cell and atoms, written as Quantum ESPRESSO input:
```
&SYSTEM
  ibrav = 0, nat = 4, ntyp = 3
/
ATOMIC_SPECIES
Au 196.97 Au.upf
Co 58.93 Co.upf
Ru 101.07 Ru.upf
ATOMIC_POSITIONS crystal
Au 0.250 0.750 0.500
Co 0.750 0.250 0.500
Ru 0.000 0.000 0.000
Ru 0.500 0.500 0.000
CELL_PARAMETERS angstrom
4.773 -0.015 0.000
1.788 4.426 0.000
-3.280 -2.205 2.676
```

Output
excess energy over the best structure of this formula in the dataset = 0.651 eV/f.u.
energy = -27.3 eV for the cell shown
space group = No. 139
calculated volume = 14.15 Å³/atom
ΔH_f (0 K) = 0.411 eV per atom

5.
Compound: Te2SeCl
Source: Alexandria
Functional: GGA-PBE
Structure: optimized geometry Values from VASP.

Cell and atoms, written as Quantum ESPRESSO input:
```
&SYSTEM
  ibrav = 0, nat = 4, ntyp = 3
/
ATOMIC_SPECIES
Cl 35.45 Cl.upf
Se 78.96 Se.upf
Te 127.60 Te.upf
ATOMIC_POSITIONS crystal
Cl 0.500 0.000 0.500
Se 0.000 0.500 0.500
Te 0.000 0.000 0.000
Te 0.500 0.500 0.000
CELL_PARAMETERS angstrom
5.302 0.036 0.000
-1.179 5.169 0.000
0.000 0.000 3.531
```

Output
excess energy over the best structure of this formula in the dataset = 1.926 eV/f.u.
energy = -10.3 eV for the cell shown
space group = No. 65
calculated volume = 24.23 Å³/atom

6.
Compound: PrErIn
Source: Alexandria
Functional: GGA-PBE
Structure: optimized geometry Values from VASP.

Cell and atoms, written as Quantum ESPRESSO input:
```
&SYSTEM
  ibrav = 0, nat = 3, ntyp = 3
/
ATOMIC_SPECIES
Pr 140.91 Pr.upf
In 114.82 In.upf
Er 167.26 Er.upf
ATOMIC_POSITIONS crystal
Pr 0.353 0.333 0.667
In 0.750 0.667 0.333
Er 0.897 0.000 0.000
CELL_PARAMETERS angstrom
-2.854 1.855 1.588
-3.266 -1.825 -3.737
0.703 -2.743 4.467
```

Output
excess energy over the best structure of this formula in the dataset = 0.294 eV/f.u.
energy = -12.8 eV for the cell shown
space group = No. 156
calculated volume = 30.32 Å³/atom
ΔH_f (0 K) = -0.237 eV per atom

7.
Compound: La2TlGaFe
Source: Alexandria
Functional: GGA-PBE
Structure: optimized geometry Values from VASP.

Cell and atoms, written as Quantum ESPRESSO input:
```
&SYSTEM
  ibrav = 0, nat = 5, ntyp = 4
/
ATOMIC_SPECIES
Tl 204.38 Tl.upf
Fe 55.84 Fe.upf
Ga 69.72 Ga.upf
La 138.91 La.upf
ATOMIC_POSITIONS crystal
Tl 0.500 0.500 0.500
Fe 0.000 0.000 0.000
Ga 0.000 0.000 0.500
La 0.000 0.500 0.000
La 0.500 0.000 0.000
CELL_PARAMETERS angstrom
-3.208 -1.461 3.847
2.497 -4.568 0.348
2.993 1.880 3.209
```

Output
energy = -25.0 eV for the cell shown
space group = No. 123
calculated volume = 26.00 Å³/atom
ΔH_f (0 K) = -0.268 eV per atom

8.
Compound: Pm2GaRu
Source: Alexandria
Functional: GGA-PBE
Structure: optimized geometry Values from VASP.

Cell and atoms, written as Quantum ESPRESSO input:
```
&SYSTEM
  ibrav = 0, nat = 8, ntyp = 3
/
ATOMIC_SPECIES
Pm 145.00 Pm.upf
Ga 69.72 Ga.upf
Ru 101.07 Ru.upf
ATOMIC_POSITIONS crystal
Pm 0.177 0.588 0.353
Pm 0.823 0.412 0.647
Pm 0.177 0.088 0.353
Pm 0.823 0.912 0.647
Ga 0.501 0.250 0.000
Ga 0.499 0.750 0.000
Ru 0.999 0.750 0.000
Ru 0.001 0.250 0.000
CELL_PARAMETERS angstrom
4.925 0.000 0.000
0.000 8.623 0.001
-2.462 -2.151 4.921
```

Output
energy = -46.1 eV for the cell shown
space group = No. 15
calculated volume = 26.12 Å³/atom
ΔH_f (0 K) = -0.317 eV per atom

9.
Compound: Li4InPd
Source: Alexandria
Functional: GGA-PBE
Structure: optimized geometry Values from VASP.

Cell and atoms, written as Quantum ESPRESSO input:
```
&SYSTEM
  ibrav = 0, nat = 6, ntyp = 3
/
ATOMIC_SPECIES
Li 6.94 Li.upf
Pd 106.42 Pd.upf
In 114.82 In.upf
ATOMIC_POSITIONS crystal
Li 0.626 0.626 0.121
Li 0.626 0.121 0.626
Li 0.626 0.626 0.626
Li 0.121 0.626 0.626
Pd 0.000 0.000 0.000
In 0.250 0.250 0.250
CELL_PARAMETERS angstrom
5.028 0.000 0.000
2.514 4.355 0.000
2.514 1.452 4.105
```

Output
excess energy over the best structure of this formula in the dataset = 0.807 eV/f.u.
energy = -16.8 eV for the cell shown
space group = No. 216
calculated volume = 14.98 Å³/atom
ΔH_f (0 K) = -0.208 eV per atom

10.
Compound: NaTl2Zn
Source: Alexandria
Functional: GGA-PBE
Structure: optimized geometry Values from VASP.

Cell and atoms, written as Quantum ESPRESSO input:
```
&SYSTEM
  ibrav = 0, nat = 4, ntyp = 3
/
ATOMIC_SPECIES
Na 22.99 Na.upf
Tl 204.38 Tl.upf
Zn 65.41 Zn.upf
ATOMIC_POSITIONS crystal
Na 0.491 0.491 0.526
Tl 0.059 0.059 0.823
Tl 0.270 0.270 0.190
Zn 0.680 0.680 0.961
CELL_PARAMETERS angstrom
4.772 0.000 0.000
2.386 4.133 0.000
2.386 1.378 5.671
```

Output
energy = -7.3 eV for the cell shown
space group = No. 160
calculated volume = 27.96 Å³/atom
ΔH_f (0 K) = 0.015 eV per atom

11.
Compound: Sr2YPb
Source: Alexandria
Functional: GGA-PBE
Structure: optimized geometry Values from VASP.

Cell and atoms, written as Quantum ESPRESSO input:
```
&SYSTEM
  ibrav = 0, nat = 4, ntyp = 3
/
ATOMIC_SPECIES
Pb 207.20 Pb.upf
Sr 87.62 Sr.upf
Y 88.91 Y.upf
ATOMIC_POSITIONS crystal
Pb 0.500 0.500 0.711
Sr 0.000 0.000 0.945
Sr 0.500 0.500 0.287
Y 0.000 0.000 0.557
CELL_PARAMETERS angstrom
-3.080 -2.101 -1.059
-1.142 -0.472 4.258
-5.069 7.687 -0.507
```

Output
energy = -14.3 eV for the cell shown
space group = No. 25
calculated volume = 39.61 Å³/atom
ΔH_f (0 K) = -0.180 eV per atom

12.
Compound: ZnMo4Ru
Source: Alexandria
Functional: GGA-PBE
Structure: optimized geometry Values from VASP.

Cell and atoms, written as Quantum ESPRESSO input:
```
&SYSTEM
  ibrav = 0, nat = 6, ntyp = 3
/
ATOMIC_SPECIES
Zn 65.41 Zn.upf
Mo 95.94 Mo.upf
Ru 101.07 Ru.upf
ATOMIC_POSITIONS crystal
Zn 0.000 0.000 0.000
Mo 0.878 0.374 0.374
Mo 0.374 0.374 0.878
Mo 0.374 0.878 0.374
Mo 0.374 0.374 0.374
Ru 0.750 0.750 0.750
CELL_PARAMETERS angstrom
5.015 0.340 1.195
1.487 2.663 4.170
1.845 -2.490 4.133
```

Output
energy = -51.5 eV for the cell shown
space group = No. 216
calculated volume = 16.25 Å³/atom
ΔH_f (0 K) = 0.393 eV per atom

13.
Compound: TbGa4Tc
Source: Alexandria
Functional: GGA-PBE
Structure: optimized geometry Values from VASP.

Cell and atoms, written as Quantum ESPRESSO input:
```
&SYSTEM
  ibrav = 0, nat = 12, ntyp = 3
/
ATOMIC_SPECIES
Tb 158.93 Tb.upf
Ga 69.72 Ga.upf
Tc 98.00 Tc.upf
ATOMIC_POSITIONS crystal
Tb 0.226 0.219 0.438
Tb 0.774 0.781 0.562
Ga 0.830 0.325 0.650
Ga 0.611 0.308 0.218
Ga 0.000 0.179 0.000
Ga 0.389 0.090 0.782
Ga 0.170 0.675 0.350
Ga 0.389 0.692 0.782
Ga 0.000 0.821 0.000
Ga 0.611 0.910 0.218
Tc 0.735 0.500 0.999
Tc 0.265 0.500 0.001
CELL_PARAMETERS angstrom
-1.584 -2.843 -4.207
2.432 -5.505 2.804
-6.100 3.098 3.512
```

Output
excess energy over the best structure of this formula in the dataset = 0.000 eV/f.u.
energy = -57.2 eV for the cell shown
space group = No. 12
calculated volume = 18.91 Å³/atom
ΔH_f (0 K) = -0.253 eV per atom

14.
Compound: CaTlBr2
Source: Alexandria
Functional: GGA-PBE
Structure: optimized geometry Values from VASP.

Cell and atoms, written as Quantum ESPRESSO input:
```
&SYSTEM
  ibrav = 0, nat = 4, ntyp = 3
/
ATOMIC_SPECIES
Tl 204.38 Tl.upf
Ca 40.08 Ca.upf
Br 79.90 Br.upf
ATOMIC_POSITIONS crystal
Tl 0.000 0.500 0.500
Ca 0.500 0.000 0.500
Br 0.000 0.000 0.000
Br 0.500 0.500 0.000
CELL_PARAMETERS angstrom
-1.341 2.961 -2.818
-3.512 -4.268 -2.814
-3.513 1.056 2.782
```

Output
excess energy over the best structure of this formula in the dataset = 1.363 eV/f.u.
energy = -11.7 eV for the cell shown
space group = No. 47
calculated volume = 30.72 Å³/atom

15.
Compound: TbYMgCo
Source: Alexandria
Functional: GGA-PBE
Structure: optimized geometry Values from VASP.

Cell and atoms, written as Quantum ESPRESSO input:
```
&SYSTEM
  ibrav = 0, nat = 4, ntyp = 4
/
ATOMIC_SPECIES
Y 88.91 Y.upf
Co 58.93 Co.upf
Mg 24.30 Mg.upf
Tb 158.93 Tb.upf
ATOMIC_POSITIONS crystal
Y 0.750 0.750 0.750
Co 0.500 0.500 0.500
Mg 0.000 0.000 0.000
Tb 0.250 0.250 0.250
CELL_PARAMETERS angstrom
5.041 0.000 0.000
2.521 4.366 0.000
2.521 1.455 4.116
```

Output
excess energy over the best structure of this formula in the dataset = 0.490 eV/f.u.
energy = -19.8 eV for the cell shown
space group = No. 216
calculated volume = 22.65 Å³/atom
ΔH_f (0 K) = -0.005 eV per atom